No. 1
The following is a DFT calculation (SCAN) of CdSb2Rh2 at its PBEsol-relaxed geometry.

Structure (POSCAR):
```
CdSb2Rh2
1.0
-1.6630 -3.2805 2.2305
2.4658 1.0397 3.3677
-4.4652 4.4951 -0.8655
Sb Rh Cd
2 2 1
Cartesian
-0.7990 2.2072 2.6506 Sb
-2.8634 0.0471 2.0820 Sb
-3.1111 2.5836 1.4803 Rh
-0.5512 -0.3293 3.2524 Rh
0.0000 0.0000 0.0000 Cd
```

Computed properties:
* uncorrected energy: -172.44 eV per cell

---

No. 2
The following is a DFT calculation (SCAN) of Tb2MgSi2 at its PBEsol-relaxed geometry.

Structure (POSCAR):
```
Tb2MgSi2
1.0
-3.8545 1.4957 0.4884
-2.5598 -5.2582 -4.0999
-0.8561 -4.0961 5.7879
Si Tb Mg
4 4 2
Cartesian
-0.8305 -3.1503 3.0928 Si
-2.5854 -6.2040 -1.4049 Si
-2.3367 -6.8621 2.5728 Si
-1.0792 -2.4922 -0.8848 Si
-3.8166 -3.5501 -1.5046 Tb
-3.4538 -4.3085 3.6810 Tb
-2.6592 -1.5075 1.3741 Tb
-4.6111 -6.3511 0.8023 Tb
0.0000 0.0000 0.0000 Mg
-1.7080 -4.6772 0.8440 Mg
```

Computed properties:
* uncorrected energy: -244.55 eV per cell

---

No. 3
The following is a DFT calculation (SCAN) of Nd4Ga18Ni at its PBEsol-relaxed geometry.

Structure (POSCAR):
```
Nd4Ga18Ni
1.0
4.3235 0.0000 0.0000
0.0000 4.3235 0.0000
-2.1617 -2.1617 23.0487
Nd Ga Ni
4 18 1
Cartesian
2.1617 2.1617 8.9445 Nd
0.0000 0.0000 14.1042 Nd
2.1617 2.1617 19.4106 Nd
0.0000 0.0000 3.6380 Nd
2.1617 2.1617 5.0375 Ga
0.0000 0.0000 18.0112 Ga
0.0000 2.1617 21.7978 Ga
2.1617 0.0000 1.2509 Ga
2.1617 0.0000 21.7978 Ga
0.0000 2.1617 1.2509 Ga
0.0000 2.1617 16.6631 Ga
2.1617 0.0000 6.3856 Ga
2.1617 0.0000 16.6631 Ga
0.0000 2.1617 6.3856 Ga
2.1617 2.1617 2.6382 Ga
0.0000 0.0000 20.4105 Ga
2.1617 2.1617 15.2907 Ga
0.0000 0.0000 7.7580 Ga
2.1617 2.1617 12.8771 Ga
0.0000 0.0000 10.1716 Ga
0.0000 2.1617 11.5243 Ga
2.1617 0.0000 11.5243 Ga
0.0000 0.0000 0.0000 Ni
```

Computed properties:
* ΔE_f: -0.52 eV per atom

---

No. 4
The following is a DFT calculation (SCAN) of Cu2TeCl at its PBEsol-relaxed geometry.

Structure (POSCAR):
```
Cu2TeCl
1.0
3.5306 0.0000 0.0000
-1.7653 4.0366 -0.0522
0.0000 -0.7049 6.0199
Te Cu Cl
1 2 1
Cartesian
0.0000 3.6061 2.2256 Te
0.0000 0.3506 0.6100 Cu
1.7653 1.9897 1.0911 Cu
0.0000 1.0696 4.9988 Cl
```

Computed properties:
* ΔE to the lowest computed polymorph: 0.32 eV per formula unit

---

No. 5
The following is a DFT calculation (SCAN) of YTaP2 at its PBEsol-relaxed geometry.

Structure (POSCAR):
```
YTaP2
1.0
-1.2870 -0.2643 -3.1069
3.9928 0.1364 -1.6656
0.9214 -4.5461 1.8364
P Ta Y
2 1 1
Cartesian
3.1081 -4.3567 -2.7481 P
1.0159 -2.8081 -2.0132 P
0.8569 -0.1341 -2.1748 Ta
3.6265 -2.1131 -1.3224 Y
```

Computed properties:
* ΔE_f: -0.75 eV per atom
* ΔE to the lowest computed polymorph: 0.90 eV per formula unit

---

No. 6
The following is a DFT calculation (SCAN) of VBO4 at its PBEsol-relaxed geometry.

Structure (POSCAR):
```
VBO4
1.0
-1.2319 4.1068 2.5324
-0.7747 -4.5404 2.0905
2.8727 -1.4756 3.7904
B O V
1 4 1
Cartesian
0.0228 -1.6124 2.6260 B
-0.7085 -1.1808 3.8134 O
-0.0695 -0.5781 1.5999 O
-0.5525 -2.8526 2.1141 O
1.4218 -1.8382 2.9764 O
0.0000 0.0000 0.0000 V
```

Computed properties:
* uncorrected energy: -64.89 eV per cell

---

| no. | magnetization (μB/f.u.) |
| --- | --- |
| 1 | 0.0 |
| 2 | 0.0 |
| 3 | 0.0 |
| 4 | 0.0 |
| 5 | 0.0 |
| 6 | 0.0 |